# 1
## Zr2Br (PBE)

Data for crystalline Zr2Br at its relaxed geometry.

Cell: 5.352 5.352 8.964 Å, 99.74 99.74 35.13°
Fractional positions:
Zr 0.127 0.127 0.430
Zr 0.190 0.190 0.783
Zr 0.810 0.810 0.217
Zr 0.873 0.873 0.570
Br 0.468 0.468 0.824
Br 0.532 0.532 0.176

Output
Final energy, eV for the cell shown: -38.58
Energy relative to the lowest polymorph listed for this composition, meV per atom: 165

***

# 2
## SrIrS2O8 (PBE)

Data for crystalline SrIrS2O8 at its relaxed geometry.

Cell: 7.852 7.852 7.852 Å, 36.27 36.27 36.27°
Fractional positions:
Sr 0.000 0.000 0.000
Ir 0.500 0.500 0.500
S 0.248 0.248 0.248
S 0.752 0.752 0.752
O 0.063 0.478 0.776
O 0.224 0.937 0.522
O 0.316 0.316 0.316
O 0.478 0.776 0.063
O 0.522 0.224 0.937
O 0.684 0.684 0.684
O 0.776 0.063 0.478
O 0.937 0.522 0.224

Output
Final energy, eV for the cell shown: -74.46

***

# 3
## SrTc2P (PBE)

Data for crystalline SrTc2P at its relaxed geometry.

Cell: 5.617 5.617 5.617 Å, 149.65 126.10 63.11°
Fractional positions:
Sr 0.000 0.000 0.000
Tc 0.300 0.800 0.500
Tc 0.700 0.200 0.500
P 0.500 0.500 0.000

Output
Final energy, eV for the cell shown: -26.67
Energy relative to the lowest polymorph listed for this composition, meV per atom: 560
Calculated formation energy, meV per atom: 289

***

# 4
## SiTe2Cl (PBE)

Data for crystalline SiTe2Cl at its relaxed geometry.

Cell: 6.134 6.134 6.134 Å, 144.89 128.78 63.62°
Fractional positions:
Si 0.000 0.000 0.000
Te 0.193 0.693 0.500
Te 0.807 0.307 0.500
Cl 0.500 0.500 0.000

Output
Final energy, eV for the cell shown: -12.80
Energy relative to the lowest polymorph listed for this composition, meV per atom: 274

***

# 5
## PrErAlIn (PBE)

Data for crystalline PrErAlIn at its relaxed geometry.

Cell: 5.301 5.301 5.301 Å, 60.00 60.00 60.00°
Fractional positions:
Pr 0.000 0.000 0.000
Er 0.500 0.500 0.500
Al 0.250 0.250 0.250
In 0.750 0.750 0.750

Output
Final energy, eV for the cell shown: -17.40
Energy relative to the lowest polymorph listed for this composition, meV per atom: 22
Calculated formation energy, meV per atom: -394

***

# 6
## LaTb4Dy (PBE)

Data for crystalline LaTb4Dy at its relaxed geometry.

Cell: 6.638 6.638 6.638 Å, 60.00 60.00 60.00°
Fractional positions:
La 0.000 0.000 0.000
Tb 0.127 0.624 0.624
Tb 0.624 0.127 0.624
Tb 0.624 0.624 0.127
Tb 0.624 0.624 0.624
Dy 0.250 0.250 0.250

Output
Final energy, eV for the cell shown: -26.44
Energy relative to the lowest polymorph listed for this composition, meV per atom: 129
Calculated formation energy, meV per atom: 268

***

# 7
## Mg14MnZn (PBE)

Data for crystalline Mg14MnZn at its relaxed geometry.

Cell: 10.140 6.243 6.243 Å, 60.26 90.00 90.00°
Fractional positions:
Mg 0.000 0.000 0.000
Mg 0.000 0.498 0.998
Mg 0.000 0.500 0.500
Mg 0.000 0.998 0.498
Mg 0.254 0.332 0.332
Mg 0.255 0.834 0.834
Mg 0.266 0.326 0.830
Mg 0.266 0.830 0.326
Mg 0.500 0.002 0.505
Mg 0.500 0.505 0.002
Mg 0.734 0.326 0.830
Mg 0.734 0.830 0.326
Mg 0.745 0.834 0.834
Mg 0.746 0.332 0.332
Mn 0.500 0.997 0.997
Zn 0.500 0.499 0.499

Output
Final energy, eV for the cell shown: -32.12
Calculated formation energy, meV per atom: 40

***

# 8
## Tb3Pr4HoSe8 (PBE)

Data for crystalline Tb3Pr4HoSe8 at its relaxed geometry.

Cell: 8.455 8.455 8.455 Å, 58.46 58.46 58.46°
Fractional positions:
Tb 0.000 0.500 0.500
Tb 0.500 0.000 0.500
Tb 0.500 0.500 0.000
Pr 0.000 0.000 0.500
Pr 0.000 0.500 0.000
Pr 0.500 0.000 0.000
Pr 0.500 0.500 0.500
Ho 0.000 0.000 0.000
Se 0.243 0.243 0.746
Se 0.243 0.746 0.243
Se 0.254 0.757 0.757
Se 0.255 0.255 0.255
Se 0.745 0.745 0.745
Se 0.746 0.243 0.243
Se 0.757 0.254 0.757
Se 0.757 0.757 0.254

Output
Final energy, eV for the cell shown: -94.34

***

# 9
## Cr2HOs (PBE)

Data for crystalline Cr2HOs at its relaxed geometry.

Cell: 2.670 2.670 5.819 Å, 90.00 90.00 90.00°
Fractional positions:
Cr 0.000 0.000 0.190
Cr 0.000 0.000 0.810
H 0.500 0.500 0.000
Os 0.500 0.500 0.500

Output
Final energy, eV for the cell shown: -32.60
Energy relative to the lowest polymorph listed for this composition, meV per atom: 281

***

# 10
## LiPuAg2O8 (PBE)

Data for crystalline LiPuAg2O8 at its relaxed geometry.

Cell: 5.985 5.985 5.985 Å, 112.95 112.95 102.72°
Fractional positions:
Li 0.000 0.000 0.000
Pu 0.750 0.250 0.500
Ag 0.250 0.750 0.500
Ag 0.500 0.500 0.000
O 0.030 0.360 0.330
O 0.030 0.700 0.670
O 0.057 0.270 0.787
O 0.300 0.970 0.330
O 0.483 0.270 0.213
O 0.640 0.970 0.670
O 0.730 0.517 0.787
O 0.730 0.943 0.213

Output
Final energy, eV for the cell shown: -69.72

***

# 11
## Ce2Pd3Rh3 (PBE)

Data for crystalline Ce2Pd3Rh3 at its relaxed geometry.

Cell: 4.018 4.105 8.413 Å, 90.00 90.00 90.00°
Fractional positions:
Ce 0.000 0.000 0.245
Ce 0.000 0.000 0.755
Pd 0.000 0.500 0.000
Pd 0.000 0.500 0.500
Pd 0.500 0.000 0.500
Rh 0.500 0.000 0.000
Rh 0.500 0.500 0.251
Rh 0.500 0.500 0.749

Output
Final energy, eV for the cell shown: -55.14
Calculated formation energy, meV per atom: -705

***

# 12
## Y2Ge4Mo (PBE)

Data for crystalline Y2Ge4Mo at its relaxed geometry.

Cell: 7.937 7.937 7.937 Å, 144.57 144.57 50.98°
Fractional positions:
Y 0.127 0.127 0.000
Y 0.873 0.873 0.000
Ge 0.000 0.500 0.500
Ge 0.321 0.321 0.000
Ge 0.500 0.000 0.500
Ge 0.679 0.679 0.000
Mo 0.500 0.500 0.000

Output
Final energy, eV for the cell shown: -43.40
Calculated formation energy, meV per atom: -167

***

# 13
## ZnCrSb2 (PBE)

Data for crystalline ZnCrSb2 at its relaxed geometry.

Cell: 3.867 3.867 7.183 Å, 105.58 105.58 60.23°
Fractional positions:
Zn 0.000 0.000 0.000
Cr 0.500 0.500 0.500
Sb 0.244 0.244 0.735
Sb 0.756 0.756 0.265

Output
Final energy, eV for the cell shown: -18.29

***

# 14
## MoPt2Se (PBE)

Data for crystalline MoPt2Se at its relaxed geometry.

Cell: 4.503 4.503 4.503 Å, 120.14 120.14 89.75°
Fractional positions:
Mo 0.000 0.000 0.000
Pt 0.250 0.750 0.500
Pt 0.500 0.500 0.000
Se 0.750 0.250 0.500

Output
Final energy, eV for the cell shown: -25.88

***

# 15
## LiThSi2Ni (PBE)

Data for crystalline LiThSi2Ni at its relaxed geometry.

Cell: 5.706 5.706 5.706 Å, 137.85 137.85 61.13°
Fractional positions:
Li 0.000 0.000 0.000
Th 0.250 0.750 0.500
Si 0.626 0.126 0.500
Si 0.874 0.374 0.500
Ni 0.500 0.500 0.000

Output
Final energy, eV for the cell shown: -29.36

***

# 16
## Cr2MoPt2 (PBE)

Data for crystalline Cr2MoPt2 at its relaxed geometry.

Cell: 7.425 7.425 2.640 Å, 90.00 90.00 90.00°
Fractional positions:
Cr 0.170 0.330 0.000
Cr 0.330 0.830 0.000
Cr 0.670 0.170 0.000
Cr 0.830 0.670 0.000
Mo 0.000 0.000 0.500
Mo 0.500 0.500 0.500
Pt 0.128 0.628 0.500
Pt 0.372 0.128 0.500
Pt 0.628 0.872 0.500
Pt 0.872 0.372 0.500

Output
Final energy, eV for the cell shown: -83.68
Energy relative to the lowest polymorph listed for this composition, meV per atom: 0
Calculated formation energy, meV per atom: 64

***

# 17
## Zn2Si2N (PBE)

Data for crystalline Zn2Si2N at its relaxed geometry.

Cell: 5.193 5.193 5.239 Å, 90.00 90.00 90.00°
Fractional positions:
Zn 0.180 0.320 0.000
Zn 0.320 0.820 0.000
Zn 0.680 0.180 0.000
Zn 0.820 0.680 0.000
Si 0.166 0.666 0.500
Si 0.334 0.166 0.500
Si 0.666 0.834 0.500
Si 0.834 0.334 0.500
N 0.000 0.000 0.500
N 0.500 0.500 0.500

Output
Final energy, eV for the cell shown: -38.46
Energy relative to the lowest polymorph listed for this composition, meV per atom: 0

***

# 18
## CeLuHfZr (PBE)

Data for crystalline CeLuHfZr at its relaxed geometry.

Cell: 5.233 5.233 5.233 Å, 60.00 60.00 60.00°
Fractional positions:
Ce 0.000 0.000 0.000
Lu 0.750 0.750 0.750
Hf 0.250 0.250 0.250
Zr 0.500 0.500 0.500

Output
Final energy, eV for the cell shown: -28.17
Calculated formation energy, meV per atom: 197

***

# 19
## Y2Ho9Er (PBE)

Data for crystalline Y2Ho9Er at its relaxed geometry.

Cell: 11.170 11.170 3.473 Å, 90.00 90.00 120.00°
Fractional positions:
Y 0.333 0.667 0.000
Y 0.667 0.333 0.000
Ho 0.000 0.500 0.000
Ho 0.175 0.351 0.500
Ho 0.175 0.825 0.500
Ho 0.351 0.175 0.500
Ho 0.500 0.000 0.000
Ho 0.500 0.500 0.000
Ho 0.649 0.825 0.500
Ho 0.825 0.175 0.500
Ho 0.825 0.649 0.500
Er 0.000 0.000 0.000

Output
Final energy, eV for the cell shown: -57.93
Energy relative to the lowest polymorph listed for this composition, meV per atom: 40
Calculated formation energy, meV per atom: 63

***

# 20
## AgF3 (PBE)

Data for crystalline AgF3 at its relaxed geometry.

Cell: 5.480 3.163 6.610 Å, 90.00 98.92 90.00°
Fractional positions:
Ag 0.209 0.250 0.271
Ag 0.791 0.750 0.729
F 0.054 0.250 0.831
F 0.259 0.750 0.502
F 0.415 0.750 0.152
F 0.585 0.250 0.848
F 0.741 0.250 0.498
F 0.946 0.750 0.169

Output
Final energy, eV for the cell shown: -22.88
Energy relative to the lowest polymorph listed for this composition, meV per atom: 265

***

# 21
## SrHS2N (PBE)

Data for crystalline SrHS2N at its relaxed geometry.

Cell: 5.925 5.925 4.900 Å, 90.00 90.00 90.00°
Fractional positions:
Sr 0.000 0.000 0.000
H 0.500 0.500 0.500
S 0.000 0.500 0.000
S 0.500 0.000 0.000
N 0.000 0.000 0.500

Output
Final energy, eV for the cell shown: -13.94
Energy relative to the lowest polymorph listed for this composition, meV per atom: 1157

***

# 22
## Be2InAs (PBE)

Data for crystalline Be2InAs at its relaxed geometry.

Cell: 4.717 4.717 4.717 Å, 127.73 127.73 77.07°
Fractional positions:
Be 0.250 0.750 0.500
Be 0.750 0.250 0.500
In 0.000 0.000 0.000
As 0.500 0.500 0.000

Output
Final energy, eV for the cell shown: -12.36
Energy relative to the lowest polymorph listed for this composition, meV per atom: 378
Calculated formation energy, meV per atom: 620

***

# 23
## LaAgMo (PBE)

Data for crystalline LaAgMo at its relaxed geometry.

Cell: 5.077 5.077 2.931 Å, 90.00 90.00 120.00°
Fractional positions:
La 0.000 0.000 0.000
Ag 0.333 0.667 0.502
Mo 0.667 0.333 0.498

Output
Final energy, eV for the cell shown: -16.89
Energy relative to the lowest polymorph listed for this composition, meV per atom: 79
Calculated formation energy, meV per atom: 573

***

# 24
## CoCuP2 (PBE)

Data for crystalline CoCuP2 at its relaxed geometry.

Cell: 3.515 4.280 4.103 Å, 90.00 115.14 90.00°
Fractional positions:
Co 0.000 0.000 0.000
Cu 0.448 0.500 0.889
P 0.131 0.500 0.259
P 0.314 0.000 0.625

Output
Final energy, eV for the cell shown: -22.35
Calculated formation energy, meV per atom: -83

***

# 25
## CaLaBe2 (PBE)

Data for crystalline CaLaBe2 at its relaxed geometry.

Cell: 8.443 8.443 8.443 Å, 26.37 26.37 26.37°
Fractional positions:
Ca 0.000 0.000 0.000
La 0.500 0.500 0.500
Be 0.249 0.249 0.249
Be 0.751 0.751 0.751

Output
Final energy, eV for the cell shown: -11.87
Energy relative to the lowest polymorph listed for this composition, meV per atom: 395
Calculated formation energy, meV per atom: 627

***

# 26
## La2TbPm7 (PBE)

Data for crystalline La2TbPm7 at its relaxed geometry.

Cell: 10.350 10.350 3.563 Å, 90.00 90.00 109.16°
Fractional positions:
La 0.174 0.826 0.000
La 0.826 0.174 0.000
Tb 0.000 0.000 0.500
Pm 0.127 0.377 0.000
Pm 0.326 0.674 0.500
Pm 0.377 0.127 0.000
Pm 0.500 0.500 0.000
Pm 0.623 0.873 0.000
Pm 0.674 0.326 0.500
Pm 0.873 0.623 0.000

Output
Final energy, eV for the cell shown: -44.07
Energy relative to the lowest polymorph listed for this composition, meV per atom: 223
Calculated formation energy, meV per atom: 367